--- P ---
The following is a DFT calculation (PBE) of a relaxed PmTeN crystal.

Cell: 3.578 4.287 11.320 Å, 90.75 89.71 117.90°
Atoms (fractional coordinates):
Pm 0.120 0.281 0.125
Pm 0.880 0.719 0.875
Te 0.156 0.324 0.675
Te 0.844 0.676 0.325
N 0.450 0.834 0.020
N 0.550 0.166 0.980

Crystal system: triclinic
Volume: 153.42 Å³ per cell

--- Q ---
The following is a DFT calculation (PBE) of a relaxed PmTeN crystal.

Cell: 4.104 3.750 12.120 Å, 80.51 80.25 56.82°
Atoms (fractional coordinates):
Te 0.748 0.673 0.831
Te 0.252 0.327 0.169
Pm 0.174 0.021 0.630
Pm 0.826 0.979 0.370
N 0.550 0.350 0.551
N 0.450 0.650 0.449

Crystal system: monoclinic
Volume: 153.26 Å³ per cell

Of them, P has the highest stability.